# HfMnTe2I

A relaxed HfMnTe2I crystal (PBE-GGA, Alexandria via LeMat-Bulk).

Computed properties:
size of the total moment: 5.90 μB per formula unit
formation energy without anion corrections: 0.1705 eV/atom

Cell: 5.5885 5.5885 5.7228 Å, 90.00 90.00 90.00°
Space group P4/mmm (No. 123)
Unique sites:
Hf 0.0000 0.0000 0.0000 [1 per cell]
Mn 0.5000 0.5000 0.5000 [1 per cell]
Te 0.0000 0.5000 0.0000 [2 per cell]
I 0.0000 0.0000 0.5000 [1 per cell]